1.
{"formula": "LaTcW", "functional": "PBEsol", "state": "relaxed", "final_energy_ev_per_atom": -9.275, "m_tot_mub_per_fu": 0.0, "volume_a3_per_atom": 21.67, "e_form_ev_per_atom": 0.87, "lattice_angstrom": [[4.5133, 0.0000, 0.0000], [2.2566, 3.9086, 0.0000], [2.2566, 1.3029, 3.6851]], "species": ["La", "W", "Tc"], "fractional_positions": [[0.5000, 0.5000, 0.5000], [0.0000, 0.0000, 0.0000], [0.2500, 0.2500, 0.2500]]}

---

2.
{"formula": "Li2TaSi2", "functional": "PBEsol", "state": "relaxed", "final_energy_ev_per_atom": -5.659, "m_tot_mub_per_fu": 0.0, "volume_a3_per_atom": 14.11, "e_form_raw_mev_per_atom": -63, "lattice_angstrom": [[2.7899, 0.0000, 0.0000], [0.0000, 7.1118, 0.0000], [0.0000, 0.0000, 7.1118]], "species": ["Li", "Li", "Ta", "Si", "Si", "Ta", "Li", "Si", "Li", "Si"], "fractional_positions": [[0.5000, 0.8693, 0.3693], [0.5000, 0.6307, 0.8693], [0.0000, 0.0000, 0.0000], [0.0000, 0.6682, 0.1682], [0.0000, 0.3318, 0.8318], [0.0000, 0.5000, 0.5000], [0.5000, 0.1307, 0.6307], [0.0000, 0.1682, 0.3318], [0.5000, 0.3693, 0.1307], [0.0000, 0.8318, 0.6682]]}

---

3.
{"formula": "ZrHg2Pb", "functional": "PBEsol", "state": "relaxed", "final_energy_ev_per_atom": -3.668, "m_tot_mub_per_fu": 0.0, "volume_a3_per_atom": 22.47, "e_form_ev_per_atom": -0.11, "lattice_angstrom": [[-2.3802, -0.9446, 1.9534], [-2.4656, -2.2800, -4.1069], [3.4037, -3.7177, 2.3497]], "species": ["Hg", "Pb", "Zr", "Hg"], "fractional_positions": [[0.0000, 0.0000, 0.0000], [0.5000, 0.0000, 0.5000], [0.0000, 0.5000, 0.5000], [0.5000, 0.5000, 0.0000]]}

---

4.
{"formula": "MgTa2Mn", "functional": "PBEsol", "state": "relaxed", "final_energy_ev_per_atom": -8.938, "m_tot_mub_per_fu": 0.0, "volume_a3_per_atom": 16.83, "e_form_ev_per_atom": 0.21, "lattice_angstrom": [[-1.1735, -2.4806, -0.9100], [2.5531, -0.8081, -1.0896], [1.8953, -3.4696, 7.0142]], "species": ["Ta", "Ta", "Mg", "Mn"], "fractional_positions": [[0.0000, 0.0000, 0.6950], [0.0000, 0.0000, 0.3050], [0.5000, 0.5000, 0.0000], [0.5000, 0.5000, 0.5000]]}

---

5.
{"formula": "Co2MoRu", "functional": "PBEsol", "state": "relaxed", "final_energy_ev_per_atom": -9.374, "m_tot_mub_per_fu": 0.0, "volume_a3_per_atom": 12.00, "polymorph_energy_ev_per_atom": 0.000, "e_form_ev_per_atom": -0.02, "lattice_angstrom": [[3.6229, 0.0000, 0.0000], [0.0000, 3.6229, 0.0000], [0.0000, 0.0000, 3.6572]], "species": ["Mo", "Co", "Ru", "Co"], "fractional_positions": [[0.5000, 0.5000, 0.5000], [0.5000, 0.0000, 0.0000], [0.0000, 0.0000, 0.5000], [0.0000, 0.5000, 0.0000]]}

---

6.
{"formula": "LiTc2Br", "functional": "PBEsol", "state": "relaxed", "final_energy_ev_per_atom": -5.685, "m_tot_mub_per_fu": 0.0, "volume_a3_per_atom": 13.55, "polymorph_energy_ev_per_atom": 0.000, "e_form_raw_mev_per_atom": 907, "lattice_angstrom": [[-0.2592, -2.6141, -1.4540], [4.2233, -0.1849, -0.4204], [0.2765, -2.0815, 3.6929]], "species": ["Br", "Tc", "Li", "Tc"], "fractional_positions": [[0.5000, 0.5000, 0.5000], [0.0000, 0.0000, 0.5000], [0.5000, 0.0000, 0.0000], [0.0000, 0.5000, 0.0000]]}

---

7.
{"formula": "MgReAu2", "functional": "PBEsol", "state": "relaxed", "final_energy_ev_per_atom": -5.585, "m_tot_mub_per_fu": 0.0, "volume_a3_per_atom": 16.10, "e_form_ev_per_atom": 0.14, "lattice_angstrom": [[2.8434, 0.0000, 0.0000], [1.4217, 2.4624, 0.0000], [1.4217, 0.8208, 9.1987]], "species": ["Re", "Mg", "Au", "Au"], "fractional_positions": [[0.0000, 0.0000, 0.0000], [0.5000, 0.5000, 0.5000], [0.7503, 0.7503, 0.7491], [0.2497, 0.2497, 0.2509]]}

---

8.
{"formula": "LiLaCd2", "functional": "PBEsol", "state": "relaxed", "final_energy_ev_per_atom": -2.724, "m_tot_mub_per_fu": 0.0, "volume_a3_per_atom": 22.90, "e_form_ev_per_atom": -0.30, "lattice_angstrom": [[-3.1319, -3.4663, -1.9444], [0.4163, -4.8482, 1.3880], [-3.5581, -2.1124, 2.9125]], "species": ["Cd", "La", "Cd", "Li"], "fractional_positions": [[0.2500, 0.2500, 0.2500], [0.7500, 0.7500, 0.7500], [0.5000, 0.5000, 0.5000], [0.0000, 0.0000, 0.0000]]}

---

9.
{"formula": "CaY3Ir", "functional": "PBEsol", "state": "relaxed", "final_energy_ev_per_atom": -6.873, "m_tot_mub_per_fu": 0.0, "volume_a3_per_atom": 28.84, "polymorph_energy_ev_per_atom": 0.000, "e_form_ev_per_atom": -0.39, "lattice_angstrom": [[3.7321, 0.0000, 0.0000], [0.0000, 8.8178, 0.0032], [0.0000, -2.2348, 8.7639]], "species": ["Y", "Ca", "Y", "Y", "Y", "Ir", "Y", "Ca", "Ir", "Y"], "fractional_positions": [[0.2500, 0.3375, 0.4783], [0.2500, 0.0232, 0.6865], [0.7500, 0.4011, 0.8378], [0.7500, 0.6625, 0.5217], [0.7500, 0.8013, 0.9153], [0.2500, 0.5954, 0.7370], [0.2500, 0.1987, 0.0847], [0.7500, 0.9768, 0.3135], [0.7500, 0.4046, 0.2630], [0.2500, 0.5989, 0.1622]]}

---

10.
{"formula": "ReAg2W", "functional": "PBEsol", "state": "relaxed", "final_energy_ev_per_atom": -7.984, "m_tot_mub_per_fu": 0.0, "volume_a3_per_atom": 15.88, "polymorph_energy_ev_per_atom": 0.000, "e_form_ev_per_atom": 0.46, "lattice_angstrom": [[-0.5047, 1.8793, -1.8992], [-3.1656, -2.1939, -1.3298], [-3.3928, 2.5520, 3.8665]], "species": ["Ag", "Re", "Ag", "W"], "fractional_positions": [[0.5154, 0.5000, 0.2427], [0.0671, 0.0000, 0.5187], [0.9905, 0.0000, 0.0082], [0.4270, 0.5000, 0.7304]]}

---

11.
{"formula": "Be2CrPt", "functional": "PBEsol", "state": "relaxed", "final_energy_ev_per_atom": -6.445, "m_tot_mub_per_fu": 0.0, "volume_a3_per_atom": 10.55, "e_form_ev_per_atom": -0.14, "lattice_angstrom": [[2.7024, 0.0000, 0.0000], [0.0000, 3.8711, 0.0000], [-1.3512, -1.9356, 4.0330]], "species": ["Be", "Cr", "Be", "Pt"], "fractional_positions": [[0.7344, 0.2344, 0.4688], [0.4926, 0.4926, 0.9852], [0.0116, 0.0116, 0.0231], [0.2614, 0.7614, 0.5228]]}

---

12.
{"formula": "Tl2AgP", "functional": "PBEsol", "state": "relaxed", "final_energy_ev_per_atom": -3.387, "m_tot_mub_per_fu": 0.0, "volume_a3_per_atom": 22.64, "polymorph_energy_ev_per_atom": 0.125, "e_form_ev_per_atom": 0.20, "lattice_angstrom": [[3.3577, 0.0000, 0.0000], [0.0000, 3.3577, 0.0000], [0.0000, 0.0000, 8.0340]], "species": ["P", "Tl", "Ag", "Tl"], "fractional_positions": [[0.5000, 0.5000, 0.6932], [0.5000, 0.5000, 0.2909], [0.0000, 0.0000, 0.5599], [0.0000, 0.0000, 0.9560]]}